No. 1
Computed, not measured: a relaxed structure of BaRe4Os at the PBE level of DFT.

Cell lengths 7.612, 7.612, 7.612 Å; angles 90.00, 90.00, 90.00 degrees
Space group F-43m (No. 216)
Asymmetric unit:
Ba1 0.000 0.000 0.000 (multiplicity 4)
Re1 0.125 0.125 0.375 (multiplicity 16)
Os1 0.250 0.250 0.750 (multiplicity 4)

Values from the calculation:
Calculated volume ... 18.4 Å³ per atom
Crystal system ... cubic
Total magnetization ... 0.00 μB per formula unit
Final energy ... -224.3 eV for the cell shown

---

No. 2
Computed, not measured: a relaxed structure of Ba2ReOs at the PBE level of DFT.

Cell lengths 5.859, 10.098, 3.424 Å; angles 90.00, 90.00, 90.00 degrees
Space group Cmmm (No. 65)
Asymmetric unit:
Ba1 0.250 0.250 0.000 (multiplicity 4)
Re1 0.000 0.000 0.500 (multiplicity 2)
Os1 0.000 0.500 0.500 (multiplicity 2)

Values from the calculation:
Calculated volume ... 25.3 Å³ per atom
Crystal system ... orthorhombic
Total magnetization ... 0.73 μB per formula unit
Final energy ... -42.3 eV for the cell shown

---

No. 3
Computed, not measured: a relaxed structure of BaRe3Os at the PBE level of DFT.

Cell lengths 4.832, 4.832, 4.832 Å; angles 90.00, 90.00, 90.00 degrees
Space group Pm-3m (No. 221)
Asymmetric unit:
Ba1 0.000 0.000 0.000 (multiplicity 1)
Re1 0.000 0.000 0.500 (multiplicity 3)
Os1 0.500 0.500 0.500 (multiplicity 1)

Values from the calculation:
Calculated volume ... 22.6 Å³ per atom
Crystal system ... cubic
Total magnetization ... 0.00 μB per formula unit
Final energy ... -28.3 eV for the cell shown

---

No. 4
Computed, not measured: a relaxed structure of Ba2Re2Os at the PBE level of DFT.

Cell lengths 3.544, 3.544, 21.018 Å; angles 90.00, 90.00, 90.00 degrees
Space group I4/mmm (No. 139)
Asymmetric unit:
Ba1 0.000 0.000 0.097 (multiplicity 4)
Re1 0.000 0.500 0.250 (multiplicity 4)
Os1 0.000 0.000 0.500 (multiplicity 2)

Values from the calculation:
Calculated volume ... 26.4 Å³ per atom
Crystal system ... tetragonal
Total magnetization ... 0.00 μB per formula unit
Final energy ... -69.0 eV for the cell shown

---

No. 5
Computed, not measured: a relaxed structure of Ba2ReOs at the PBE level of DFT.

Cell lengths 4.476, 4.476, 5.051 Å; angles 90.00, 90.00, 90.00 degrees
Space group P4/mmm (No. 123)
Asymmetric unit:
Ba1 0.000 0.500 0.000 (multiplicity 2)
Re1 0.000 0.000 0.500 (multiplicity 1)
Os1 0.500 0.500 0.500 (multiplicity 1)

Values from the calculation:
Calculated volume ... 25.3 Å³ per atom
Crystal system ... tetragonal
Total magnetization ... 2.39 μB per formula unit
Final energy ... -21.1 eV for the cell shown

---

No. 6
Computed, not measured: a relaxed structure of BaReOs2 at the PBE level of DFT.

Cell lengths 4.557, 4.557, 7.087 Å; angles 90.00, 90.00, 90.00 degrees
Space group I-4m2 (No. 119)
Asymmetric unit:
Ba1 0.000 0.000 0.000 (multiplicity 2)
Re1 0.000 0.500 0.250 (multiplicity 2)
Os1 0.000 0.000 0.500 (multiplicity 2)
Os2 0.000 0.500 0.750 (multiplicity 2)

Values from the calculation:
Calculated volume ... 18.4 Å³ per atom
Crystal system ... tetragonal
Total magnetization ... 0.00 μB per formula unit
Final energy ... -60.4 eV for the cell shown